Below is crystalline Pr4YTh2 at its relaxed geometry, with properties calculated at the PBE level.

a b c (Å): 3.651 3.651 21.033
angles (deg): 85.02 85.02 60.00
Atoms (fractional coordinates):
Pr  0.380  0.380  0.859
Pr  0.096  0.096  0.711
Pr  0.620  0.620  0.141
Pr  0.904  0.904  0.289
Y  0.000  0.000  0.000
Th  0.189  0.189  0.432
Th  0.811  0.811  0.568

Summary:
Energy of formation from the pure elements: 0.039 eV/atom
Calculated total energy: -40.15 eV/cell